Material: MnTlN2O
Method: DFT, PBE with a Hubbard U
State: relaxed

```
MnTlN2O
1.0
-1.0593 0.7794 4.0622
1.6659 -3.7578 1.1554
3.7951 1.8760 0.6297
N Mn O Tl
2 1 1 1
direct
0.5000 0.0000 0.0000 N
0.0000 0.5000 0.0000 N
0.5000 0.5000 0.5000 Mn
0.0000 0.0000 0.5000 O
0.0000 0.0000 0.0000 Tl
```

Values from the calculation:
total magnetization = 3.1 μB per formula unit
energy = -20.68 eV per formula unit
D(E_F) = 3.358 states/eV per cell
space group = P4/mmm, No. 123